## NbReNF2 (PBE-GGA)

Data for NbReNF2 after structural relaxation.

Output
**Excess energy over the best structure of this formula in the dataset**: 0.0 meV per atom
**Magnetization**: 0.841 μB/atom
**Formation energy (no corrections)**: 1 kJ per mole of atoms

a = 4.254 Å, b = 4.254 Å, c = 4.100 Å
α = 90.00°, β = 90.00°, γ = 90.00°
Each line ends with the local moment (μB).
Fractional positions:
Re1 0.500 0.500 0.500  4.00
Nb1 0.000 0.000 0.000  -0.74
N1 0.000 0.000 0.500  0.07
F1 0.000 0.500 0.000  0.05
F2 0.500 0.000 0.000  0.05

## NbRe2NF (PBE-GGA)

Data for NbRe2NF after structural relaxation.

Output
**Magnetization**: 0.000 μB/atom
**Formation energy (no corrections)**: 26 kJ per mole of atoms

a = 3.952 Å, b = 4.490 Å, c = 3.952 Å
α = 90.00°, β = 90.00°, γ = 90.00°
Fractional positions:
Re1 0.000 0.000 0.500
Re2 0.500 0.000 0.000
Nb1 0.000 0.500 0.000
N1 0.000 0.000 0.000
F1 0.500 0.500 0.500